Record 1
This record from Alexandria describes crystalline CsDyAuS2 at its relaxed geometry. The functional is PBE.

Cell: 5.0849 8.0057 7.7441 Å, 99.78 90.00 90.00°
Fractional coordinates of all 10 atoms:
Au1 0.0000 0.0000 0.5000
Cs1 0.8510 0.5000 0.2500
S1 0.6492 0.7808 0.9630
S2 0.3508 0.7808 0.4630
Dy1 0.5054 0.0000 0.7500
S3 0.3508 0.2192 0.0370
S4 0.6492 0.2192 0.5370
Cs2 0.1490 0.5000 0.7500
Au2 0.0000 0.0000 0.0000
Dy2 0.4946 0.0000 0.2500

* Fermi-level density of states: 0.634 states/eV per atom
* formation energy from raw total energies: -1.163 eV per atom

---

Record 2
This record from Alexandria describes crystalline CsDySb2Au2 at its relaxed geometry. The functional is PBE.

Cell: 4.6875 4.6875 9.8524 Å, 90.00 90.00 120.00°
Fractional coordinates of all 6 atoms:
Au1 0.6667 0.3333 0.6579
Cs1 0.0000 0.0000 0.0000
Sb1 0.3333 0.6667 0.7107
Sb2 0.6667 0.3333 0.2893
Dy1 0.0000 0.0000 0.5000
Au2 0.3333 0.6667 0.3421

* Fermi-level density of states: 0.297 states/eV per atom
* formation energy from raw total energies: -0.702 eV per atom

---

Record 3
This record from Alexandria describes crystalline CsDyAuSe2 at its relaxed geometry. The functional is PBE.

Cell: 5.0076 8.4080 8.0373 Å, 97.42 90.00 90.00°
Fractional coordinates of all 10 atoms:
Au1 0.0000 0.0000 0.5000
Se1 0.3728 0.7730 0.4706
Se2 0.6272 0.2270 0.5294
Cs1 0.1222 0.5000 0.7500
Cs2 0.8778 0.5000 0.2500
Se3 0.3728 0.2270 0.0294
Dy1 0.4950 0.0000 0.2500
Dy2 0.5050 0.0000 0.7500
Se4 0.6272 0.7730 0.9706
Au2 0.0000 0.0000 0.0000

* Fermi-level density of states: 0.474 states/eV per atom
* formation energy from raw total energies: -1.105 eV per atom

---

Record 4
This record from Alexandria describes crystalline Cs2ErAuI6 at its relaxed geometry. The functional is PBE.

Cell: 8.5278 8.3999 9.4573 Å, 57.51 56.91 78.04°
Fractional coordinates of all 10 atoms:
I1 0.2237 0.2208 0.5562
I2 0.3558 0.8072 0.0005
I3 0.7763 0.7792 0.4438
Au1 0.5000 0.5000 0.0000
Er1 0.0000 0.0000 0.0000
I4 0.1581 0.2823 0.9991
I5 0.6442 0.1928 0.9995
Cs1 0.7496 0.2498 0.5020
Cs2 0.2504 0.7503 0.4980
I6 0.8419 0.7177 0.0009

* Fermi-level density of states: 0.000 states/eV per atom
* formation energy from raw total energies: -1.169 eV per atom

---

Record 5
This record from Alexandria describes crystalline CsEr2AuS4 at its relaxed geometry. The functional is PBE.

Cell: 4.0634 7.3548 14.1288 Å, 90.00 90.00 106.04°
Fractional coordinates of all 16 atoms:
Er1 0.6301 0.2603 0.4343
S1 0.2530 0.5060 0.4043
S2 0.5636 0.1273 0.2500
Er2 0.6301 0.2603 0.0657
Er3 0.3699 0.7397 0.5657
Er4 0.3699 0.7397 0.9343
Cs1 0.1167 0.2335 0.7500
Cs2 0.8833 0.7665 0.2500
S3 0.0000 0.0000 0.0000
S4 0.7470 0.4940 0.5957
S5 0.7470 0.4940 0.9043
S6 0.2530 0.5060 0.0957
S7 0.0000 0.0000 0.5000
Au1 0.8368 0.6736 0.7500
Au2 0.1632 0.3264 0.2500
S8 0.4364 0.8727 0.7500

* Fermi-level density of states: 0.000 states/eV per atom
* formation energy from raw total energies: -1.500 eV per atom

---

Record 6
This record from Alexandria describes crystalline CsErAuSe2 at its relaxed geometry. The functional is PBE.

Cell: 4.9739 8.3761 7.9689 Å, 96.73 90.00 90.00°
Fractional coordinates of all 10 atoms:
Au1 0.0000 0.0000 0.0000
Er1 0.5045 0.0000 0.7500
Se1 0.6188 0.2269 0.5270
Cs1 0.1101 0.5000 0.7500
Se2 0.3812 0.2269 0.0270
Se3 0.6188 0.7731 0.9730
Se4 0.3812 0.7731 0.4730
Er2 0.4955 0.0000 0.2500
Au2 0.0000 0.0000 0.5000
Cs2 0.8899 0.5000 0.2500

* Fermi-level density of states: 0.453 states/eV per atom
* formation energy from raw total energies: -1.098 eV per atom

---

Record 7
This record from Alexandria describes crystalline Cs2ErTe6Au2 at its relaxed geometry. The functional is PBE.

Cell: 8.1965 7.9510 9.5382 Å, 114.07 90.00 121.03°
Fractional coordinates of all 11 atoms:
Au1 0.0814 0.1627 0.2625
Te1 0.3028 0.0417 0.7695
Cs1 0.2678 0.5356 0.7965
Te2 0.7376 0.4753 0.7714
Te3 0.2624 0.5247 0.2286
Te4 0.6972 0.9583 0.2305
Te5 0.7389 0.0417 0.7695
Er1 0.5000 0.0000 0.5000
Cs2 0.7322 0.4644 0.2035
Au2 0.9186 0.8373 0.7375
Te6 0.2611 0.9583 0.2305

* Fermi-level density of states: 0.492 states/eV per atom
* formation energy from raw total energies: -0.538 eV per atom

---

Record 8
This record from Alexandria describes crystalline CsErTe2Au at its relaxed geometry. The functional is PBE.

Cell: 4.7863 9.0935 8.5714 Å, 93.51 90.00 90.00°
Fractional coordinates of all 10 atoms:
Te1 0.6106 0.7706 0.9856
Cs1 0.0708 0.5000 0.7500
Au1 0.0000 0.0000 0.0000
Au2 0.0000 0.0000 0.5000
Er1 0.4981 0.0000 0.2500
Te2 0.6106 0.2294 0.5144
Cs2 0.9292 0.5000 0.2500
Te3 0.3894 0.7706 0.4856
Te4 0.3894 0.2294 0.0144
Er2 0.5019 0.0000 0.7500

* Fermi-level density of states: 0.465 states/eV per atom
* formation energy from raw total energies: -0.866 eV per atom

---

> What is the formula in the seventh record?

Cs2ErTe6Au2

---

> Which value of Fermi-level density of states does entry 8 give?

0.465 states/eV per atom